A plane-wave DFT calculation with PBE-GGA was carried out for crystalline LiPm2Hg3 at its relaxed geometry.

```
12
Lattice="0.000 4.970 8.607 3.441 0.000 8.607 3.441 4.970 0.000" Properties=species:S:1:pos:R:3 pbc="T T T"
Li 3.441 4.970 2.871
Li 3.441 4.970 14.344
Pm 1.720 2.485 4.304
Pm 5.122 4.970 8.607
Pm 1.759 4.970 8.607
Pm 5.161 7.455 12.911
Hg 3.441 2.354 7.112
Hg 3.441 2.354 10.103
Hg 3.441 4.970 5.614
Hg 3.441 4.970 11.601
Hg 3.441 7.585 7.112
Hg 3.441 7.585 10.103
```

Results
SG: Fmmm (69)
Energy above the lowest structure with this stoichiometry: 0.049 eV per atom
Calculated formation energy: -404.8 meV per atom

A plane-wave DFT calculation with PBE-GGA was carried out for crystalline GeBiI2N at its relaxed geometry.

```
5
Lattice="6.356 0.000 0.000 0.000 6.356 0.000 0.000 0.000 4.195" Properties=species:S:1:pos:R:3 pbc="T T T"
Ge 0.000 0.000 0.000
Bi 3.178 3.178 2.097
I 0.000 3.178 2.097
I 3.178 0.000 2.097
N 3.178 3.178 0.000
```

Results
SG: P4/mmm (123)
Energy above the lowest structure with this stoichiometry: 0.361 eV per atom

A plane-wave DFT calculation with PBE-GGA was carried out for crystalline NpTi2Ru at its relaxed geometry.

```
4
Lattice="4.668 0.000 0.000 0.000 4.668 0.000 0.000 0.000 3.033" Properties=species:S:1:pos:R:3 pbc="T T T"
Np 0.000 0.000 0.000
Ti 0.000 2.334 1.517
Ti 2.334 0.000 1.517
Ru 2.334 2.334 0.000
```

Results
SG: P4/mmm (123)
Energy above the lowest structure with this stoichiometry: 0.196 eV per atom
Calculated formation energy: 15.9 meV per atom

A plane-wave DFT calculation with PBE-GGA was carried out for crystalline Cd5GaHg6 at its relaxed geometry.

```
12
Lattice="4.598 -5.043 0.000 4.598 5.043 0.000 -1.267 0.000 6.260" Properties=species:S:1:pos:R:3 pbc="T T T"
Cd 0.000 0.000 0.000
Cd 3.965 3.439 3.130
Cd 4.598 1.801 0.000
Cd 4.598 -1.801 0.000
Cd 3.965 -3.439 3.130
Ga 3.965 0.000 3.130
Hg 2.031 1.664 1.610
Hg 1.443 0.000 4.737
Hg 2.031 -1.664 1.610
Hg 5.899 1.664 4.650
Hg 6.487 0.000 1.523
Hg 5.899 -1.664 4.650
```

Results
SG: C2/m (12)
Calculated formation energy: 24.8 meV per atom

A plane-wave DFT calculation with PBE-GGA was carried out for crystalline CsV3Au at its relaxed geometry.

```
5
Lattice="4.728 0.000 0.000 0.000 4.728 0.000 0.000 0.000 4.728" Properties=species:S:1:pos:R:3 pbc="T T T"
Cs 0.000 0.000 0.000
V 0.000 0.000 2.364
V 0.000 2.364 0.000
V 2.364 0.000 0.000
Au 2.364 2.364 2.364
```

Results
SG: Pm-3m (221)
Energy above the lowest structure with this stoichiometry: 1.033 eV per atom
Calculated formation energy: 2484.7 meV per atom

A plane-wave DFT calculation with PBE-GGA was carried out for crystalline KMgBr2 at its relaxed geometry.

```
4
Lattice="3.818 0.000 0.000 0.000 5.429 0.000 0.000 0.000 5.589" Properties=species:S:1:pos:R:3 pbc="T T T"
K 0.000 0.000 0.000
Mg 0.000 2.714 2.794
Br 1.909 0.000 2.794
Br 1.909 2.714 0.000
```

Results
SG: Pmmm (47)
Energy above the lowest structure with this stoichiometry: 0.132 eV per atom

For reference, theoretical density by record: 10.1 5.4 10.9 10.5 7.6 3.2 g cm⁻³.
For reference, electronic total energy by record: -2.458 -3.075 -9.486 -0.760 -3.813 -2.523 eV/atom.